# GdHSe

A relaxed structure of GdHSe (PBE, Alexandria).

Lattice parameters (Å, degrees): 5.039 5.039 5.039 138.18 138.18 60.62
Positions (direct):
Gd 0.000 0.000 0.000
H 0.626 0.626 0.000
Se 0.331 0.331 0.000

Summary:
DFT total energy (eV per atom): -7.835



# GdHSe

A relaxed structure of GdHSe (PBE, Alexandria).

Lattice parameters (Å, degrees): 9.124 3.839 6.147 90.00 90.00 90.00
Positions (direct):
Gd 0.110 0.250 0.187
Gd 0.390 0.750 0.687
Gd 0.610 0.250 0.313
Gd 0.890 0.750 0.813
H 0.076 0.750 0.021
H 0.424 0.250 0.521
H 0.576 0.750 0.479
H 0.924 0.250 0.979
Se 0.141 0.250 0.671
Se 0.359 0.750 0.171
Se 0.641 0.250 0.829
Se 0.859 0.750 0.329

Summary:
DFT total energy (eV per atom): -8.298



# Gd3SiH

A relaxed structure of Gd3SiH (PBE, Alexandria).

Lattice parameters (Å, degrees): 4.717 4.717 4.717 90.00 90.00 90.00
Positions (direct):
Gd 0.000 0.000 0.500
Gd 0.000 0.500 0.000
Gd 0.500 0.000 0.000
Si 0.500 0.500 0.500
H 0.000 0.000 0.000

Summary:
DFT total energy (eV per atom): -10.571



# Gd2SiH

A relaxed structure of Gd2SiH (PBE, Alexandria).

Lattice parameters (Å, degrees): 7.553 7.553 7.553 33.18 33.18 33.18
Positions (direct):
Gd 0.100 0.100 0.100
Gd 0.900 0.900 0.900
Si 0.500 0.500 0.500
H 0.000 0.000 0.000

Summary:
DFT total energy (eV per atom): -9.530



# Gd4Si2H

A relaxed structure of Gd4Si2H (PBE, Alexandria).

Lattice parameters (Å, degrees): 8.850 8.850 8.850 151.49 151.49 40.75
Positions (direct):
Gd 0.000 0.500 0.500
Gd 0.177 0.177 0.000
Gd 0.500 0.000 0.500
Gd 0.823 0.823 0.000
Si 0.360 0.360 0.000
Si 0.640 0.640 0.000
H 0.500 0.500 0.000

Summary:
DFT total energy (eV per atom): -10.517



# Sm3GdH

A relaxed structure of Sm3GdH (PBE, Alexandria).

Lattice parameters (Å, degrees): 5.091 5.091 5.091 90.00 90.00 90.00
Positions (direct):
Sm 0.000 0.000 0.500
Sm 0.000 0.500 0.000
Sm 0.500 0.000 0.000
Gd 0.500 0.500 0.500
H 0.000 0.000 0.000

Summary:
DFT total energy (eV per atom): -6.494



# SmGd2H

A relaxed structure of SmGd2H (PBE, Alexandria).

Lattice parameters (Å, degrees): 8.861 8.861 8.861 23.69 23.69 23.69
Positions (direct):
Sm 0.000 0.000 0.000
Gd 0.221 0.221 0.221
Gd 0.779 0.779 0.779
H 0.500 0.500 0.500

Summary:
DFT total energy (eV per atom): -9.236



# Sm5Gd3H12

A relaxed structure of Sm5Gd3H12 (PBE, Alexandria).

Lattice parameters (Å, degrees): 11.571 11.571 11.571 109.47 109.47 109.47
Positions (direct):
Sm 0.000 0.000 0.000
Sm 0.000 0.000 0.500
Sm 0.000 0.500 0.000
Sm 0.000 0.500 0.500
Sm 0.125 0.750 0.875
Sm 0.125 0.875 0.250
Sm 0.250 0.125 0.875
Sm 0.250 0.625 0.375
Sm 0.375 0.250 0.625
Sm 0.375 0.625 0.750
Sm 0.500 0.000 0.000
Sm 0.500 0.000 0.500
Sm 0.500 0.500 0.000
Sm 0.500 0.500 0.500
Sm 0.625 0.375 0.250
Sm 0.625 0.750 0.375
Sm 0.750 0.375 0.625
Sm 0.750 0.875 0.125
Sm 0.875 0.125 0.750
Sm 0.875 0.250 0.125
Gd 0.125 0.250 0.375
Gd 0.125 0.375 0.750
Gd 0.250 0.375 0.125
Gd 0.250 0.875 0.625
Gd 0.375 0.125 0.250
Gd 0.375 0.750 0.125
Gd 0.625 0.250 0.875
Gd 0.625 0.875 0.750
Gd 0.750 0.125 0.375
Gd 0.750 0.625 0.875
Gd 0.875 0.625 0.250
Gd 0.875 0.750 0.625
H 0.068 0.227 0.155
H 0.068 0.342 0.914
H 0.072 0.727 0.658
H 0.072 0.845 0.414
H 0.086 0.655 0.428
H 0.086 0.932 0.658
H 0.155 0.068 0.227
H 0.155 0.586 0.928
H 0.158 0.227 0.572
H 0.158 0.432 0.586
H 0.227 0.155 0.068
H 0.227 0.572 0.158
H 0.273 0.342 0.928
H 0.273 0.432 0.345
H 0.342 0.914 0.068
H 0.342 0.928 0.273
H 0.345 0.273 0.432
H 0.345 0.572 0.914
H 0.414 0.072 0.845
H 0.414 0.842 0.568
H 0.428 0.086 0.655
H 0.428 0.842 0.773
H 0.432 0.345 0.273
H 0.432 0.586 0.158
H 0.568 0.414 0.842
H 0.568 0.655 0.727
H 0.572 0.158 0.227
H 0.572 0.914 0.345
H 0.586 0.158 0.432
H 0.586 0.928 0.155
H 0.655 0.428 0.086
H 0.655 0.727 0.568
H 0.658 0.072 0.727
H 0.658 0.086 0.932
H 0.727 0.568 0.655
H 0.727 0.658 0.072
H 0.773 0.428 0.842
H 0.773 0.845 0.932
H 0.842 0.568 0.414
H 0.842 0.773 0.428
H 0.845 0.414 0.072
H 0.845 0.932 0.773
H 0.914 0.068 0.342
H 0.914 0.345 0.572
H 0.928 0.155 0.586
H 0.928 0.273 0.342
H 0.932 0.658 0.086
H 0.932 0.773 0.845

Summary:
DFT total energy (eV per atom): -5.755



# Gd3Sn5H12

A relaxed structure of Gd3Sn5H12 (PBE, Alexandria).

Lattice parameters (Å, degrees): 11.274 11.274 11.274 109.47 109.47 109.47
Positions (direct):
Gd 0.125 0.250 0.375
Gd 0.125 0.375 0.750
Gd 0.250 0.375 0.125
Gd 0.250 0.875 0.625
Gd 0.375 0.125 0.250
Gd 0.375 0.750 0.125
Gd 0.625 0.250 0.875
Gd 0.625 0.875 0.750
Gd 0.750 0.125 0.375
Gd 0.750 0.625 0.875
Gd 0.875 0.625 0.250
Gd 0.875 0.750 0.625
Sn 0.000 0.000 0.000
Sn 0.000 0.000 0.500
Sn 0.000 0.500 0.000
Sn 0.000 0.500 0.500
Sn 0.125 0.750 0.875
Sn 0.125 0.875 0.250
Sn 0.250 0.125 0.875
Sn 0.250 0.625 0.375
Sn 0.375 0.250 0.625
Sn 0.375 0.625 0.750
Sn 0.500 0.000 0.000
Sn 0.500 0.000 0.500
Sn 0.500 0.500 0.000
Sn 0.500 0.500 0.500
Sn 0.625 0.375 0.250
Sn 0.625 0.750 0.375
Sn 0.750 0.375 0.625
Sn 0.750 0.875 0.125
Sn 0.875 0.125 0.750
Sn 0.875 0.250 0.125
H 0.076 0.738 0.653
H 0.076 0.838 0.423
H 0.077 0.662 0.424
H 0.077 0.915 0.653
H 0.085 0.238 0.162
H 0.085 0.347 0.923
H 0.153 0.238 0.576
H 0.153 0.415 0.577
H 0.162 0.085 0.238
H 0.162 0.577 0.924
H 0.238 0.162 0.085
H 0.238 0.576 0.153
H 0.262 0.347 0.924
H 0.262 0.415 0.338
H 0.338 0.262 0.415
H 0.338 0.576 0.923
H 0.347 0.923 0.085
H 0.347 0.924 0.262
H 0.415 0.338 0.262
H 0.415 0.577 0.153
H 0.423 0.076 0.838
H 0.423 0.847 0.585
H 0.424 0.077 0.662
H 0.424 0.847 0.762
H 0.576 0.153 0.238
H 0.576 0.923 0.338
H 0.577 0.153 0.415
H 0.577 0.924 0.162
H 0.585 0.423 0.847
H 0.585 0.662 0.738
H 0.653 0.076 0.738
H 0.653 0.077 0.915
H 0.662 0.424 0.077
H 0.662 0.738 0.585
H 0.738 0.585 0.662
H 0.738 0.653 0.076
H 0.762 0.424 0.847
H 0.762 0.838 0.915
H 0.838 0.423 0.076
H 0.838 0.915 0.762
H 0.847 0.585 0.423
H 0.847 0.762 0.424
H 0.915 0.653 0.077
H 0.915 0.762 0.838
H 0.923 0.085 0.347
H 0.923 0.338 0.576
H 0.924 0.162 0.577
H 0.924 0.262 0.347

Summary:
DFT total energy (eV per atom): -5.067



# Gd3SnH

A relaxed structure of Gd3SnH (PBE, Alexandria).

Lattice parameters (Å, degrees): 4.867 4.867 4.867 90.00 90.00 90.00
Positions (direct):
Gd 0.000 0.000 0.500
Gd 0.000 0.500 0.000
Gd 0.500 0.000 0.000
Sn 0.500 0.500 0.500
H 0.000 0.000 0.000

Summary:
DFT total energy (eV per atom): -10.447



# SrGdH3

A relaxed structure of SrGdH3 (PBE, Alexandria).

Lattice parameters (Å, degrees): 4.364 4.364 4.364 90.00 90.00 90.00
Positions (direct):
Sr 0.000 0.000 0.000
Gd 0.500 0.500 0.500
H 0.000 0.500 0.500
H 0.500 0.000 0.500
H 0.500 0.500 0.000

Summary:
DFT total energy (eV per atom): -5.516



# SrGd3H

A relaxed structure of SrGd3H (PBE, Alexandria).

Lattice parameters (Å, degrees): 5.192 5.192 5.192 90.00 90.00 90.00
Positions (direct):
Sr 0.000 0.000 0.000
Gd 0.000 0.500 0.500
Gd 0.500 0.000 0.500
Gd 0.500 0.500 0.000
H 0.500 0.500 0.500

Summary:
DFT total energy (eV per atom): -9.475